# CsCoRuO2, relaxed, DFT PBE with a Hubbard U
data_CsCoRuO2
_chemical_formula_sum 'Cs1 Co1 Ru1 O2'
_cell_length_a 3.8107
_cell_length_b 3.8107
_cell_length_c 6.5436
_cell_angle_alpha 90.00
_cell_angle_beta 90.00
_cell_angle_gamma 90.00
_space_group_name_H-M_alt 'P 4/m m m'
_space_group_IT_number 123
_space_group_name_Hall '-P 4 2'
loop_
_atom_site_label
_atom_site_type_symbol
_atom_site_fract_x
_atom_site_fract_y
_atom_site_fract_z
_atom_site_occupancy
Cs1 Cs 0.0000 0.0000 0.0000 1
Co1 Co 0.0000 0.0000 0.5000 1
Ru1 Ru 0.5000 0.5000 0.0000 1
O1 O 0.0000 0.5000 0.5000 1
# Fermi-level density of states   0.677 states/eV per atom
# Density   5.7 Mg/m³
# Total DFT energy (no corrections)   -4.2044 eV/atom